Below is PaTiTl after structural relaxation, with properties calculated at the PBE level.

```
data_PaTiTl
_chemical_formula_sum 'Pa2 Ti2 Tl2'
_space_group_name_H-M_alt 'P 1'
_space_group_IT_number 1
_cell_length_a 3.5598
_cell_length_b 3.5598
_cell_length_c 10.6281
_cell_angle_alpha 90.47
_cell_angle_beta 90.47
_cell_angle_gamma 89.70
loop_
_space_group_symop_operation_xyz
'x,y,z'
loop_
_atom_site_label
_atom_site_fract_x
_atom_site_fract_y
_atom_site_fract_z
Pa1 0.2477 0.2477 0.4187
Pa2 0.7523 0.7523 0.5813
Ti1 0.2561 0.2561 0.7394
Ti2 0.7439 0.7439 0.2606
Tl1 0.2423 0.2423 0.1010
Tl2 0.7577 0.7577 0.8990
```

ΔE to the lowest computed polymorph, meV/atom: 0
M_tot, μB per atom: 0.20
ΔE_f, meV/atom: 168.1


Below is PaTiTl after structural relaxation, with properties calculated at the PBE level.

```
data_PaTiTl
_chemical_formula_sum 'Pa1 Ti1 Tl1'
_space_group_name_H-M_alt 'P 1'
_space_group_IT_number 1
_cell_length_a 5.0585
_cell_length_b 5.0585
_cell_length_c 3.1279
_cell_angle_alpha 90.00
_cell_angle_beta 90.00
_cell_angle_gamma 120.00
loop_
_space_group_symop_operation_xyz
'x,y,z'
loop_
_atom_site_label
_atom_site_fract_x
_atom_site_fract_y
_atom_site_fract_z
Pa1 0.0000 0.0000 0.0000
Ti1 0.6667 0.3333 0.5000
Tl1 0.3333 0.6667 0.5000
```

ΔE to the lowest computed polymorph, meV/atom: 115
M_tot, μB per atom: 0.00
ΔE_f, meV/atom: 283.1


Below is TmPaTi after structural relaxation, with properties calculated at the PBE level.

```
data_TmPaTi
_chemical_formula_sum 'Tm1 Pa1 Ti1'
_space_group_name_H-M_alt 'P 1'
_space_group_IT_number 1
_cell_length_a 3.2424
_cell_length_b 3.2424
_cell_length_c 7.8125
_cell_angle_alpha 90.00
_cell_angle_beta 90.00
_cell_angle_gamma 120.00
loop_
_space_group_symop_operation_xyz
'x,y,z'
loop_
_atom_site_label
_atom_site_fract_x
_atom_site_fract_y
_atom_site_fract_z
Tm1 0.0000 0.0000 0.0000
Pa1 0.3333 0.6667 0.6431
Ti1 0.6667 0.3333 0.3353
```

ΔE to the lowest computed polymorph, meV/atom: 0
M_tot, μB per atom: 0.00
ΔE_f, meV/atom: 219.2


Below is Tm2PaTi after structural relaxation, with properties calculated at the PBE level.

```
data_Tm2PaTi
_chemical_formula_sum 'Tm2 Pa1 Ti1'
_space_group_name_H-M_alt 'P 1'
_space_group_IT_number 1
_cell_length_a 11.5054
_cell_length_b 11.5054
_cell_length_c 11.5054
_cell_angle_alpha 16.26
_cell_angle_beta 16.26
_cell_angle_gamma 16.26
loop_
_space_group_symop_operation_xyz
'x,y,z'
loop_
_atom_site_label
_atom_site_fract_x
_atom_site_fract_y
_atom_site_fract_z
Tm1 0.0856 0.0856 0.0856
Tm2 0.9144 0.9144 0.9144
Pa1 0.5000 0.5000 0.5000
Ti1 0.0000 0.0000 0.0000
```

M_tot, μB per atom: 0.41
ΔE_f, meV/atom: 400.1


Below is TmPaTi after structural relaxation, with properties calculated at the PBE level.

```
data_TmPaTi
_chemical_formula_sum 'Tm2 Pa2 Ti2'
_space_group_name_H-M_alt 'P 1'
_space_group_IT_number 1
_cell_length_a 7.0095
_cell_length_b 7.0095
_cell_length_c 7.0095
_cell_angle_alpha 43.67
_cell_angle_beta 43.67
_cell_angle_gamma 43.67
loop_
_space_group_symop_operation_xyz
'x,y,z'
loop_
_atom_site_label
_atom_site_fract_x
_atom_site_fract_y
_atom_site_fract_z
Tm1 0.1167 0.1167 0.1167
Tm2 0.8833 0.8833 0.8833
Pa1 0.2999 0.2999 0.2999
Pa2 0.7001 0.7001 0.7001
Ti1 0.4288 0.4288 0.4288
Ti2 0.5712 0.5712 0.5712
```

ΔE to the lowest computed polymorph, meV/atom: 156
M_tot, μB per atom: 0.00
ΔE_f, meV/atom: 374.9


Below is TmPa2Ti after structural relaxation, with properties calculated at the PBE level.

```
data_TmPa2Ti
_chemical_formula_sum 'Tm1 Pa2 Ti1'
_space_group_name_H-M_alt 'P 1'
_space_group_IT_number 1
_cell_length_a 3.1199
_cell_length_b 3.1199
_cell_length_c 9.8463
_cell_angle_alpha 90.00
_cell_angle_beta 90.00
_cell_angle_gamma 90.00
loop_
_space_group_symop_operation_xyz
'x,y,z'
loop_
_atom_site_label
_atom_site_fract_x
_atom_site_fract_y
_atom_site_fract_z
Tm1 0.0000 0.0000 0.0000
Pa1 0.5000 0.5000 0.2718
Pa2 0.5000 0.5000 0.7282
Ti1 0.0000 0.0000 0.5000
```

M_tot, μB per atom: 0.00
ΔE_f, meV/atom: 200.9


Below is UPaTi2 after structural relaxation, with properties calculated at the PBE level.

```
data_UPaTi2
_chemical_formula_sum 'U1 Pa1 Ti2'
_space_group_name_H-M_alt 'P 1'
_space_group_IT_number 1
_cell_length_a 3.2583
_cell_length_b 3.2583
_cell_length_c 7.7355
_cell_angle_alpha 90.00
_cell_angle_beta 90.00
_cell_angle_gamma 90.00
loop_
_space_group_symop_operation_xyz
'x,y,z'
loop_
_atom_site_label
_atom_site_fract_x
_atom_site_fract_y
_atom_site_fract_z
U1 0.0000 0.0000 0.0000
Pa1 0.0000 0.0000 0.5000
Ti1 0.5000 0.5000 0.2052
Ti2 0.5000 0.5000 0.7948
```

M_tot, μB per atom: 0.23
ΔE_f, meV/atom: 348.7


Below is UPa6Ti after structural relaxation, with properties calculated at the PBE level.

```
data_UPa6Ti
_chemical_formula_sum 'U1 Pa6 Ti1'
_space_group_name_H-M_alt 'P 1'
_space_group_IT_number 1
_cell_length_a 6.5450
_cell_length_b 6.5450
_cell_length_c 4.4297
_cell_angle_alpha 90.00
_cell_angle_beta 90.00
_cell_angle_gamma 90.08
loop_
_space_group_symop_operation_xyz
'x,y,z'
loop_
_atom_site_label
_atom_site_fract_x
_atom_site_fract_y
_atom_site_fract_z
U1 0.0000 0.0000 0.0000
Pa1 0.0000 0.5000 0.0000
Pa2 0.2549 0.2549 0.5000
Pa3 0.2550 0.7450 0.5000
Pa4 0.5000 0.0000 0.0000
Pa5 0.7450 0.2550 0.5000
Pa6 0.7451 0.7451 0.5000
Ti1 0.5000 0.5000 0.0000
```

M_tot, μB per atom: 0.12
ΔE_f, meV/atom: 102.6


Below is UPa2Ti after structural relaxation, with properties calculated at the PBE level.

```
data_UPa2Ti
_chemical_formula_sum 'U1 Pa2 Ti1'
_space_group_name_H-M_alt 'P 1'
_space_group_IT_number 1
_cell_length_a 5.2862
_cell_length_b 5.2862
_cell_length_c 3.1018
_cell_angle_alpha 90.00
_cell_angle_beta 90.00
_cell_angle_gamma 90.00
loop_
_space_group_symop_operation_xyz
'x,y,z'
loop_
_atom_site_label
_atom_site_fract_x
_atom_site_fract_y
_atom_site_fract_z
U1 0.0000 0.0000 0.0000
Pa1 0.0000 0.5000 0.5000
Pa2 0.5000 0.0000 0.5000
Ti1 0.5000 0.5000 0.0000
```

ΔE to the lowest computed polymorph, meV/atom: 0
M_tot, μB per atom: 0.00
ΔE_f, meV/atom: 107.1


Below is UPa2Ti after structural relaxation, with properties calculated at the PBE level.

```
data_UPa2Ti
_chemical_formula_sum 'U1 Pa2 Ti1'
_space_group_name_H-M_alt 'P 1'
_space_group_IT_number 1
_cell_length_a 3.5706
_cell_length_b 3.5706
_cell_length_c 6.7400
_cell_angle_alpha 90.00
_cell_angle_beta 90.00
_cell_angle_gamma 90.00
loop_
_space_group_symop_operation_xyz
'x,y,z'
loop_
_atom_site_label
_atom_site_fract_x
_atom_site_fract_y
_atom_site_fract_z
U1 0.0000 0.0000 0.0000
Pa1 0.5000 0.5000 0.2497
Pa2 0.5000 0.5000 0.7503
Ti1 0.0000 0.0000 0.5000
```

ΔE to the lowest computed polymorph, meV/atom: 40
M_tot, μB per atom: 0.00
ΔE_f, meV/atom: 147.2


Below is PaTiV after structural relaxation, with properties calculated at the PBE level.

```
data_PaTiV
_chemical_formula_sum 'Pa1 Ti1 V1'
_space_group_name_H-M_alt 'P 1'
_space_group_IT_number 1
_cell_length_a 4.5125
_cell_length_b 4.5125
_cell_length_c 3.0494
_cell_angle_alpha 90.00
_cell_angle_beta 90.00
_cell_angle_gamma 120.00
loop_
_space_group_symop_operation_xyz
'x,y,z'
loop_
_atom_site_label
_atom_site_fract_x
_atom_site_fract_y
_atom_site_fract_z
Pa1 0.0000 0.0000 0.0000
Ti1 0.6667 0.3333 0.4021
V1 0.3333 0.6667 0.7464
```

ΔE to the lowest computed polymorph, meV/atom: 0
M_tot, μB per atom: 0.00
ΔE_f, meV/atom: 107.7


Below is PaTiV4 after structural relaxation, with properties calculated at the PBE level.

```
data_PaTiV4
_chemical_formula_sum 'Pa1 Ti1 V4'
_space_group_name_H-M_alt 'P 1'
_space_group_IT_number 1
_cell_length_a 5.1444
_cell_length_b 5.1444
_cell_length_c 5.1444
_cell_angle_alpha 60.00
_cell_angle_beta 60.00
_cell_angle_gamma 60.00
loop_
_space_group_symop_operation_xyz
'x,y,z'
loop_
_atom_site_label
_atom_site_fract_x
_atom_site_fract_y
_atom_site_fract_z
Pa1 0.0000 0.0000 0.0000
Ti1 0.7500 0.7500 0.7500
V1 0.3747 0.3747 0.3747
V2 0.3747 0.3747 0.8759
V3 0.3747 0.8759 0.3747
V4 0.8759 0.3747 0.3747
```

M_tot, μB per atom: 0.00
ΔE_f, meV/atom: 59.0


The highest ΔE_f belongs to which entry?
Tm2PaTi